The following is a PBE-GGA calculation of a relaxed Ce6HoOs4 crystal, from Alexandria via LeMat-Bulk.

## Properties
Formation energy, meV/atom: -75
Volume, Å³ per cell: 279

Unit cell a=7.3508 b=7.3508 c=7.3508 alpha=120.42 beta=120.42 gamma=89.28
With the nearest neighbours (Å) after each atom.
Sites, in units of the cell vectors:
Ce 0.0000 0.5000 0.5000  4 Os 2.73
Ce 0.1231 0.1231 0.6634  2 Os 2.71-2.91
Ce 0.4597 0.4597 0.3366  2 Os 2.71-2.91
Ce 0.5000 0.0000 0.5000  4 Os 2.73
Ce 0.5403 0.8769 0.0000  2 Os 2.71-2.91
Ce 0.8769 0.5403 0.0000  2 Os 2.71-2.91
Ho 0.0000 0.0000 0.0000  4 Os 3.18, 4 Ce 3.51
Os 0.2328 0.6323 0.0000  4 Ce 2.71-2.91
Os 0.3677 0.3677 0.6006  4 Ce 2.71-2.91
Os 0.6323 0.2328 0.0000  4 Ce 2.71-2.91
Os 0.7672 0.7672 0.3994  4 Ce 2.71-2.91

=====

The following is a PBE-GGA calculation of a relaxed Y3MgCr crystal, from Alexandria via LeMat-Bulk.

## Properties
Formation energy, meV/atom: 369
Distance to the lowest polymorph of the same formula, meV per atom: 0
Volume, Å³ per cell: 151

Unit cell a=5.3234 b=5.3234 c=5.3234 alpha=90.00 beta=90.00 gamma=90.00
With the nearest neighbours (Å) after each atom.
Sites, in units of the cell vectors:
Y 0.0000 0.0000 0.5000  2 Cr 2.66
Y 0.0000 0.5000 0.0000  2 Cr 2.66
Y 0.5000 0.0000 0.0000  2 Cr 2.66
Mg 0.5000 0.5000 0.5000  12 Y 3.76
Cr 0.0000 0.0000 0.0000  6 Y 2.66

=====

The following is a PBE-GGA calculation of a relaxed TaTi2N crystal, from Alexandria via LeMat-Bulk.

## Properties
Energy relative to the elements, uncorrected, eV/atom: -0.673
Volume, Å³ per cell: 58

Unit cell a=7.8171 b=7.8171 c=7.8171 alpha=21.89 beta=21.89 gamma=21.89
With the nearest neighbours (Å) after each atom.
Sites, in units of the cell vectors:
Ta 0.0000 0.0000 0.0000  2 Ti 2.64
Ti 0.1153 0.1153 0.1153  3 N 2.08
Ti 0.8847 0.8847 0.8847  3 N 2.08
N 0.5000 0.5000 0.5000  6 Ti 2.08

=====

The following is a PBE-GGA calculation of a relaxed SiIrCl2F crystal, from Alexandria via LeMat-Bulk.

## Properties
Energy relative to the elements, uncorrected, eV/atom: 0.365
Volume, Å³ per cell: 100

Unit cell a=4.5672 b=4.5672 c=4.7835 alpha=90.00 beta=90.00 gamma=90.00
With the nearest neighbours (Å) after each atom.
Sites, in units of the cell vectors:
Si 0.0000 0.0000 0.0000  4 Cl 2.28, 2 Ir 2.39
Ir 0.0000 0.0000 0.5000  2 Si 2.39
Cl 0.0000 0.5000 0.0000  2 Si 2.28
Cl 0.5000 0.0000 0.0000  2 Si 2.28
F 0.5000 0.5000 0.5000  4 Ir 3.23, 8 Cl 3.31

=====

The following is a PBE-GGA calculation of a relaxed Ca3FeCu crystal, from Alexandria via LeMat-Bulk.

## Properties
Formation energy, meV/atom: 553
Distance to the lowest polymorph of the same formula, meV per atom: 0
Volume, Å³ per cell: 150

Unit cell a=5.3186 b=5.3186 c=5.3186 alpha=90.00 beta=90.00 gamma=90.00
With the nearest neighbours (Å) after each atom.
Sites, in units of the cell vectors:
Ca 0.0000 0.0000 0.5000  2 Fe 2.66
Ca 0.0000 0.5000 0.0000  2 Fe 2.66
Ca 0.5000 0.0000 0.0000  2 Fe 2.66
Fe 0.0000 0.0000 0.0000  6 Ca 2.66
Cu 0.5000 0.5000 0.5000  12 Ca 3.76

=====

The following is a PBE-GGA calculation of a relaxed KCd2Hg crystal, from Alexandria via LeMat-Bulk.

## Properties
Formation energy, meV/atom: -105
Volume, Å³ per cell: 130

Unit cell a=6.5898 b=6.5898 c=6.5898 alpha=45.01 beta=45.01 gamma=45.01
With the nearest neighbours (Å) after each atom.
Sites, in units of the cell vectors:
K 0.0000 0.0000 0.0000  7 Cd 3.57-3.98, 4 Hg 3.66-3.68
Cd 0.2014 0.2014 0.2014  3 Cd 2.94, 3 Hg 3.20
Cd 0.5139 0.5139 0.5139  3 Cd 2.94, 3 Hg 3.06
Hg 0.7936 0.7936 0.7936  6 Cd 3.06-3.20

=====

The following is a PBE-GGA calculation of a relaxed RbP2Br8 crystal, from Alexandria via LeMat-Bulk.

## Properties
Energy relative to the elements, uncorrected, eV/atom: -0.507
Volume, Å³ per cell: 461

Unit cell a=7.7417 b=7.7417 c=9.6796 alpha=101.02 beta=101.02 gamma=54.40
With the nearest neighbours (Å) after each atom.
Sites, in units of the cell vectors:
Rb 0.0000 0.0000 0.0000  8 Br 3.80-3.83
P 0.2304 0.2304 0.6863  3 Br 2.26-2.32
P 0.7696 0.7696 0.3137  3 Br 2.26-2.32
Br 0.0858 0.5975 0.2231  1 P 2.26
Br 0.1407 0.1407 0.4540  1 P 2.32
Br 0.4025 0.9142 0.7769  1 P 2.26
Br 0.4151 0.4151 0.8781  1 P 2.81, 1 Br 2.94
Br 0.5849 0.5849 0.1219  1 P 2.81, 1 Br 2.94
Br 0.5975 0.0858 0.2231  1 P 2.26
Br 0.8593 0.8593 0.5460  1 P 2.32
Br 0.9142 0.4025 0.7769  1 P 2.26

=====

The following is a PBE-GGA calculation of a relaxed LiY3Zn crystal, from Alexandria via LeMat-Bulk.

## Properties
Formation energy, meV/atom: -110
Distance to the lowest polymorph of the same formula, meV per atom: 0
Volume, Å³ per cell: 256

Unit cell a=10.1290 b=10.1290 c=5.1065 alpha=90.00 beta=90.00 gamma=150.80
With the nearest neighbours (Å) after each atom.
Sites, in units of the cell vectors:
Li 0.1567 0.8433 0.7500  8 Y 3.11-3.14
Li 0.8433 0.1567 0.2500  8 Y 3.11-3.14
Y 0.0644 0.9356 0.2500  2 Li 3.13, 2 Zn 3.16
Y 0.2498 0.7502 0.2500  4 Zn 3.11, 4 Li 3.14
Y 0.4341 0.5659 0.2500  2 Li 3.11, 2 Zn 3.14
Y 0.5659 0.4341 0.7500  2 Li 3.11, 2 Zn 3.14
Y 0.7502 0.2498 0.7500  4 Zn 3.11, 4 Li 3.14
Y 0.9356 0.0644 0.7500  2 Li 3.13, 2 Zn 3.16
Zn 0.3405 0.6595 0.7500  8 Y 3.11-3.16
Zn 0.6595 0.3405 0.2500  8 Y 3.11-3.16

=====

The following is a PBE-GGA calculation of a relaxed HgHRh2 crystal, from Alexandria via LeMat-Bulk.

## Properties
Distance to the lowest polymorph of the same formula, meV per atom: 60
Volume, Å³ per cell: 54

Unit cell a=7.5283 b=7.5283 c=7.5283 alpha=22.29 beta=22.29 gamma=22.29
With the nearest neighbours (Å) after each atom.
Sites, in units of the cell vectors:
Hg 0.0000 0.0000 0.0000  3 H 2.76, 4 Rh 2.85-2.89, 6 Hg 2.91
H 0.2336 0.2336 0.2336  3 Rh 1.80
Rh 0.4400 0.4400 0.4400  9 Rh 2.72-2.91, 3 Hg 2.89
Rh 0.8706 0.8706 0.8706  3 H 1.80

=====

The following is a PBE-GGA calculation of a relaxed YbCdHg2 crystal, from Alexandria via LeMat-Bulk.

## Properties
Formation energy, meV/atom: -386
Volume, Å³ per cell: 96

Unit cell a=5.1386 b=5.1386 c=5.1386 alpha=60.00 beta=60.00 gamma=60.00
With the nearest neighbours (Å) after each atom.
Sites, in units of the cell vectors:
Yb 0.0000 0.0000 0.0000  8 Hg 3.15
Cd 0.5000 0.5000 0.5000  8 Hg 3.15
Hg 0.2500 0.2500 0.2500  4 Cd 3.15, 4 Yb 3.15
Hg 0.7500 0.7500 0.7500  4 Cd 3.15, 4 Yb 3.15

=====

The following is a PBE-GGA calculation of a relaxed TbNdDy2Y crystal, from Alexandria via LeMat-Bulk.

## Properties
Formation energy, meV/atom: 378
Volume, Å³ per cell: 349

Unit cell a=7.1400 b=7.1400 c=7.1984 alpha=90.00 beta=90.00 gamma=107.96
With the nearest neighbours (Å) after each atom.
Sites, in units of the cell vectors:
Tb 0.0130 0.9870 0.7500  1 Nd 3.07, 4 Dy 3.17, 1 Y 3.25
Tb 0.9870 0.0130 0.2500  1 Nd 3.07, 4 Dy 3.17, 1 Y 3.25
Nd 0.2791 0.7209 0.7500  1 Tb 3.07
Nd 0.7209 0.2791 0.2500  1 Tb 3.07
Dy 0.3101 0.3101 0.0000  2 Tb 3.17, 1 Dy 3.19, 2 Nd 3.51
Dy 0.3101 0.3101 0.5000  2 Tb 3.17, 1 Dy 3.19, 2 Nd 3.51
Dy 0.6899 0.6899 0.0000  2 Tb 3.17, 1 Dy 3.19, 2 Nd 3.51
Dy 0.6899 0.6899 0.5000  2 Tb 3.17, 1 Dy 3.19, 2 Nd 3.51
Y 0.2686 0.7314 0.2500  1 Tb 3.25, 4 Dy 3.60, 2 Nd 3.60
Y 0.7314 0.2686 0.7500  1 Tb 3.25, 4 Dy 3.60, 2 Nd 3.60

=====

The following is a PBE-GGA calculation of a relaxed MgZn2Pb crystal, from Alexandria via LeMat-Bulk.

## Properties
Formation energy, meV/atom: 154
Distance to the lowest polymorph of the same formula, meV per atom: 112
Volume, Å³ per cell: 184

Unit cell a=10.2999 b=10.2999 c=10.2999 alpha=155.75 beta=155.75 gamma=34.56
With the nearest neighbours (Å) after each atom.
Sites, in units of the cell vectors:
Mg 0.0000 0.0000 0.0000  4 Zn 2.81, 4 Pb 3.06
Mg 0.7500 0.2500 0.5000  4 Zn 2.81, 4 Pb 3.06
Zn 0.0669 0.6250 0.9419  2 Zn 2.73, 2 Mg 2.81, 2 Pb 3.00
Zn 0.3750 0.3169 0.4419  2 Zn 2.73, 2 Mg 2.81, 2 Pb 3.00
Zn 0.6831 0.1250 0.0581  2 Zn 2.73, 2 Mg 2.81, 2 Pb 3.00
Zn 0.8750 0.9331 0.5581  2 Zn 2.73, 2 Mg 2.81, 2 Pb 3.00
Pb 0.2500 0.7500 0.5000  4 Zn 3.00, 4 Mg 3.06
Pb 0.5000 0.5000 0.0000  4 Zn 3.00, 4 Mg 3.06